Entry from Alexandria via LeMat-Bulk: an optimized crystal structure of Na2Tl3HgBr6 (PBE).

Results
Spin magnetization = 0.0 μB per cell
Electronic total energy = -2.62 eV/atom
Energy relative to the elements, uncorrected = -11.3 eV per formula unit
Volume = 399.9 Å³/f.u.

Lattice parameters (Å, degrees): 7.8017 13.6467 7.9211 90.00 108.47 90.00
Space group C2/m (No. 12)
One atom of each set of equivalent atoms:
Na1 0.0000 0.1678 0.0000
Tl1 0.0000 0.0000 0.5000
Tl2 0.0000 0.3351 0.5000
Hg1 0.0000 0.5000 0.0000
Br1 0.2277 0.0000 0.2184
Br2 0.2489 0.1746 0.7729